A plane-wave DFT calculation with PBE with a Hubbard U was carried out for crystalline LiNi2P5O16 at its relaxed geometry.

Cell and atoms, written as POSCAR:
```
LiNi2P5O16
1.0
5.0302 0.0000 0.0000
0.0000 6.7582 0.0000
-0.0810 0.0000 18.7203
Li Ni P O
2 4 10 32
direct
0.0000 0.0446 0.0000
0.0000 0.9554 0.5000
0.0068 0.3266 0.5712
0.0068 0.6734 0.0712
0.5028 0.3104 0.8845
0.5028 0.6896 0.3845
0.0222 0.3669 0.3988
0.0222 0.6331 0.8988
0.2620 0.2541 0.7272
0.2620 0.7459 0.2272
0.4936 0.3635 0.0557
0.4936 0.6365 0.5557
0.5183 0.0373 0.6084
0.5183 0.9627 0.1084
0.9866 0.0335 0.8431
0.9866 0.9665 0.3431
0.0391 0.1992 0.3364
0.0391 0.8008 0.8364
0.0674 0.0949 0.7638
0.0674 0.9051 0.2638
0.1078 0.3724 0.6736
0.1078 0.6276 0.1736
0.1638 0.1264 0.8997
0.1638 0.8736 0.3997
0.2007 0.4204 0.0443
0.2007 0.5796 0.5443
0.3082 0.4414 0.4097
0.3082 0.5586 0.9097
0.3109 0.1173 0.5577
0.3109 0.8827 0.0577
0.4049 0.3724 0.7833
0.4049 0.6276 0.2833
0.4731 0.1106 0.6887
0.4731 0.8894 0.1887
0.4815 0.1958 0.1188
0.4815 0.8042 0.6188
0.6091 0.2597 0.9897
0.6091 0.7403 0.4897
0.6606 0.4711 0.5861
0.6606 0.5289 0.0861
0.6918 0.0628 0.8540
0.6918 0.9372 0.3540
0.8084 0.0672 0.5901
0.8084 0.9328 0.0901
0.8423 0.4734 0.8700
0.8423 0.5266 0.3700
0.9308 0.2569 0.4658
0.9308 0.7431 0.9658
```

Summary:
- density of states at the Fermi level (states/eV/f.u.) = 8.407
- DFT total energy (eV/cell) = -316.03
- calculated density (Mg/m³) = 2.79
- volume (Å³ per atom) = 13.258